Material: La2ZnSi3Ni12
Method: DFT, GGA-PBE
State: relaxed

Values from the calculation:
- calculated volume (Å³ per cell) = 248.7
- formation energy without anion corrections (eV per atom) = -0.13
- D(E_F) (states/eV/f.u.) = 12.42
- uncorrected energy (eV/atom) = -5.502

The structure in POSCAR format:
```
La2ZnSi3Ni12
1.0
4.2322 2.4435 4.0084
-4.2322 2.4435 4.0084
0.0000 -4.8869 4.0084
La Zn Si Ni
2 1 3 12
Direct
0.1396 0.1396 0.1396 La
0.8604 0.8604 0.8604 La
0.5000 0.5000 0.5000 Zn
0.0000 0.5000 0.5000 Si
0.5000 0.0000 0.5000 Si
0.5000 0.5000 0.0000 Si
0.1208 0.1208 0.5877 Ni
0.1208 0.5877 0.1208 Ni
0.2018 0.6858 0.6858 Ni
0.3142 0.3142 0.7982 Ni
0.3142 0.7982 0.3142 Ni
0.4123 0.8792 0.8792 Ni
0.5877 0.1208 0.1208 Ni
0.6858 0.2018 0.6858 Ni
0.6858 0.6858 0.2018 Ni
0.7982 0.3142 0.3142 Ni
0.8792 0.4123 0.8792 Ni
0.8792 0.8792 0.4123 Ni
```

---

Material: LiTbZrOs
Method: DFT, GGA-PBE
State: relaxed

Values from the calculation:
- calculated volume (Å³ per cell) = 77.6
- D(E_F) (states/eV/f.u.) = 3.52
- uncorrected energy (eV/atom) = -6.804

The structure in POSCAR format:
```
LiTbZrOs
1.0
0.0000 3.3856 3.3856
3.3856 0.0000 3.3856
3.3856 3.3856 0.0000
Li Tb Zr Os
1 1 1 1
Direct
0.0000 0.0000 0.0000 Li
0.7500 0.7500 0.7500 Tb
0.2500 0.2500 0.2500 Zr
0.5000 0.5000 0.5000 Os
```